Here is an optimized crystal structure of Cd12AgHg6 from the Alexandria database. Energies are from GGA-PBE.

Lattice parameters (Å, degrees): 11.6610 11.6610 11.6408 90.00 90.00 120.00
Closest atoms and distances in Å follow each position.
Space group R-3 (No. 148, hexagonal axes)
Inequivalent atoms, fractional coordinates:
Cd1 0.0017 0.7423 0.9998 [18 per cell]  4 Hg 3.01-3.31, 1 Ag 3.01, 6 Cd 3.01-3.22
Cd2 0.0590 0.5300 0.1192 [18 per cell]  7 Cd 2.98-3.22
Ag1 0.0000 0.0000 0.0000 [3 per cell]  6 Cd 3.01, 6 Hg 3.30
Hg1 0.0838 0.9107 0.7599 [18 per cell]  4 Cd 3.01-3.31, 2 Hg 3.03, 1 Ag 3.30

Output
Fermi-level density of states: 2.7 states/eV/f.u.
Total DFT energy (no corrections): -0.78 eV per atom
Magnetic moment: 0.000 μB per formula unit

---

Here is an optimized crystal structure of CdAg6Hg2 from the Alexandria database. Energies are from GGA-PBE.

Lattice parameters (Å, degrees): 8.3438 8.3438 2.9217 90.00 90.00 120.00
Closest atoms and distances in Å follow each position.
Space group P-31m (No. 162)
Inequivalent atoms, fractional coordinates:
Cd1 0.0000 0.0000 0.0000 [1 per cell]  6 Ag 2.85, 2 Cd 2.92
Ag1 0.0000 0.3305 0.2439 [6 per cell]  1 Cd 2.85, 2 Hg 2.89, 7 Ag 2.92-3.17
Hg1 0.3333 0.6667 0.5000 [2 per cell]  6 Ag 2.89, 2 Hg 2.92

Output
Fermi-level density of states: 3.2 states/eV/f.u.
Total DFT energy (no corrections): -2.00 eV per atom
Magnetic moment: 0.000 μB per formula unit

---

Here is an optimized crystal structure of CdAgHg from the Alexandria database. Energies are from GGA-PBE.

Lattice parameters (Å, degrees): 5.5570 5.6124 5.6327 106.75 100.93 119.65
Closest atoms and distances in Å follow each position.
Space group P1 (No. 1)
Inequivalent atoms, fractional coordinates:
Cd1 0.0000 0.0000 0.0000 [1 per cell]  4 Ag 2.90-2.94, 1 Hg 3.03
Cd2 0.1612 0.5039 0.6683 [1 per cell]  4 Ag 2.91-2.99, 1 Hg 3.02
Ag1 0.0754 0.5859 0.1730 [1 per cell]  2 Ag 2.81, 4 Cd 2.91-2.95, 4 Hg 2.98-3.07
Ag2 0.5810 0.0870 0.1792 [1 per cell]  2 Ag 2.81, 4 Cd 2.90-2.99, 4 Hg 2.97-3.02
Hg1 0.4774 0.1971 0.6911 [1 per cell]  4 Ag 3.00-3.07, 4 Cd 3.02-3.36
Hg2 0.6741 0.6984 0.3903 [1 per cell]  4 Ag 2.97-3.02, 1 Cd 3.03

Output
Fermi-level density of states: 0.7 states/eV/f.u.
Total DFT energy (no corrections): -1.33 eV per atom
Magnetic moment: 0.000 μB per formula unit

---

Here is an optimized crystal structure of CdAgHg from the Alexandria database. Energies are from GGA-PBE.

Lattice parameters (Å, degrees): 3.0993 3.0993 13.1049 90.00 90.00 90.00
Closest atoms and distances in Å follow each position.
Space group I4mm (No. 107)
Inequivalent atoms, fractional coordinates:
Cd1 0.0000 0.0000 0.0000 [2 per cell]  4 Ag 3.00, 4 Cd 3.10, 4 Hg 3.21
Ag1 0.0000 0.0000 0.3440 [2 per cell]  4 Cd 3.00, 4 Hg 3.08, 4 Ag 3.10
Hg1 0.0000 0.0000 0.6789 [2 per cell]  4 Ag 3.08, 4 Hg 3.10, 4 Cd 3.21

Output
Fermi-level density of states: 0.7 states/eV/f.u.
Total DFT energy (no corrections): -1.32 eV per atom
Magnetic moment: 0.000 μB per formula unit

---

Number 1: ΔE_f 0.05 eV/atom. Number 2: ΔE_f 0.07 eV/atom. Number 3: ΔE_f 0.02 eV/atom. Number 4: ΔE_f 0.04 eV/atom.